KBeInCl4 GGA-PBE relaxed; ρ = 2.52 Mg/m³; formation energy without anion corrections = -10.1 eV per formula unit; M_tot = 0.0 μB per formula unit
1.0
6.7362 0.0000 0.0000
0.0000 6.8484 0.0000
-2.7580 0.0000 8.7097
K Be In Cl
2 2 2 8
Direct
0.2153 0.2500 0.0341
0.7847 0.7500 0.9659
0.1947 0.7500 0.7827
0.8053 0.2500 0.2173
0.2787 0.2500 0.5661
0.7213 0.7500 0.4339
0.0032 0.5117 0.7231
0.0032 0.9883 0.7231
0.3264 0.7500 0.0138
0.4053 0.7500 0.6650
0.5947 0.2500 0.3350
0.6736 0.2500 0.9862
0.9968 0.0117 0.2769
0.9968 0.4883 0.2769